This record from Alexandria describes Dy5Ga2Ru after structural relaxation. The functional is PBE.

```
Dy5Ga2Ru
1.0
7.424 0.000 0.000
0.000 11.836 0.000
0.000 0.000 4.569
Dy Ga Ru
10 4 2
Direct
0.000 0.000 0.000 Dy
0.146 0.291 0.000 Dy
0.185 0.579 0.500 Dy
0.315 0.079 0.500 Dy
0.354 0.791 0.000 Dy
0.500 0.500 0.000 Dy
0.646 0.209 0.000 Dy
0.685 0.921 0.500 Dy
0.815 0.421 0.500 Dy
0.854 0.709 0.000 Dy
0.073 0.835 0.500 Ga
0.427 0.335 0.500 Ga
0.573 0.665 0.500 Ga
0.927 0.165 0.500 Ga
0.000 0.500 0.000 Ru
0.500 0.000 0.000 Ru
```

## Properties
The crystal system is orthorhombic. Its density of states at the Fermi level is 0.860 states/eV per atom. The magnetic moment comes out at 0.00 μB per atom. For the formation enthalpy at 0 K, the calculation gives -0.457 eV/atom. The value obtained for the uncorrected energy is -5.249 eV per atom.